# 1
Below is a relaxed structure of KCa2Br, with properties calculated at the GGA-PBE level.

Values from the calculation:
- distance to the lowest polymorph of the same formula (meV/atom) = 133
- N(E_F) (states/eV/cell) = 2.9
- raw formation energy (meV/atom) = -552
- SG = Cmmm (65)

Lattice parameters (Å, degrees): 4.033 4.033 11.864 90.00 90.00 120.19
Sites, in units of the cell vectors:
Br: 0.500 0.500 0.750
Ca: 0.000 0.000 0.552
Ca: 0.000 0.000 0.948
K: 0.500 0.500 0.250

***

# 2
Below is a relaxed structure of KCa2Br, with properties calculated at the GGA-PBE level.

Values from the calculation:
- distance to the lowest polymorph of the same formula (meV/atom) = 482
- N(E_F) (states/eV/cell) = 2.6
- raw formation energy (meV/atom) = -203
- SG = F-43m (216)

Lattice parameters (Å, degrees): 6.321 6.321 6.321 60.00 60.00 60.00
Sites, in units of the cell vectors:
K: 0.750 0.750 0.750
Ca: 0.000 0.000 0.000
Ca: 0.250 0.250 0.250
Br: 0.500 0.500 0.500

***

# 3
Below is a relaxed structure of KCa2Br, with properties calculated at the GGA-PBE level.

Values from the calculation:
- distance to the lowest polymorph of the same formula (meV/atom) = 375
- N(E_F) (states/eV/cell) = 12.6
- raw formation energy (meV/atom) = -309
- SG = I-42d (122)

Lattice parameters (Å, degrees): 7.296 7.296 10.613 69.90 69.90 90.00
Sites, in units of the cell vectors:
Br: 0.750 0.250 0.500
Br: 0.000 0.000 0.000
K: 0.500 0.500 0.000
K: 0.250 0.750 0.500
Ca: 0.375 0.123 0.750
Ca: 0.877 0.125 0.250
Ca: 0.875 0.127 0.750
Ca: 0.873 0.625 0.250

***

# 4
Below is a relaxed structure of KCaBr3, with properties calculated at the GGA-PBE level.

Values from the calculation:
- N(E_F) (states/eV/cell) = 0.0
- raw formation energy (meV/atom) = -1934
- SG = Pnma (62)

Lattice parameters (Å, degrees): 7.712 8.092 11.074 90.00 90.00 90.00
Sites, in units of the cell vectors:
Br: 0.195 0.699 0.055
Br: 0.891 0.031 0.250
Br: 0.805 0.301 0.945
Br: 0.805 0.301 0.555
Br: 0.305 0.199 0.445
Br: 0.391 0.469 0.750
Br: 0.695 0.801 0.555
Br: 0.195 0.699 0.445
Br: 0.109 0.969 0.750
Br: 0.305 0.199 0.055
Br: 0.695 0.801 0.945
Br: 0.609 0.531 0.250
Ca: 0.000 0.000 0.000
Ca: 0.500 0.500 0.000
Ca: 0.500 0.500 0.500
Ca: 0.000 0.000 0.500
K: 0.025 0.425 0.250
K: 0.525 0.075 0.750
K: 0.975 0.575 0.750
K: 0.475 0.925 0.250

***

# 5
Below is a relaxed structure of KCa2Br, with properties calculated at the GGA-PBE level.

Values from the calculation:
- distance to the lowest polymorph of the same formula (meV/atom) = 17
- N(E_F) (states/eV/cell) = 2.4
- raw formation energy (meV/atom) = -667
- SG = Cmm2 (35)

Lattice parameters (Å, degrees): 3.959 3.959 11.200 90.00 90.00 113.19
Sites, in units of the cell vectors:
Ca: 0.500 0.500 0.227
Ca: 0.000 0.000 0.958
K: 0.000 0.000 0.546
Br: 0.500 0.500 0.770

***

# 6
Below is a relaxed structure of KCaBr3, with properties calculated at the GGA-PBE level.

Values from the calculation:
- N(E_F) (states/eV/cell) = 0.0
- raw formation energy (meV/atom) = -1911
- SG = P2_1/m (11)

Lattice parameters (Å, degrees): 4.383 9.255 8.980 97.25 90.00 90.00
Sites, in units of the cell vectors:
Br: 0.250 0.707 0.046
Br: 0.750 0.646 0.410
Br: 0.250 0.354 0.590
Br: 0.250 0.944 0.672
Br: 0.750 0.293 0.954
Br: 0.750 0.056 0.328
Ca: 0.750 0.159 0.657
Ca: 0.250 0.841 0.343
K: 0.250 0.387 0.212
K: 0.750 0.613 0.788

***

# 7
Below is a relaxed structure of KCaBr3, with properties calculated at the GGA-PBE level.

Values from the calculation:
- N(E_F) (states/eV/cell) = 0.0
- raw formation energy (meV/atom) = -1935
- SG = C2/m (12)

Lattice parameters (Å, degrees): 4.297 7.520 10.842 90.13 90.00 106.57
Sites, in units of the cell vectors:
Br: 0.072 0.144 0.500
Br: 0.632 0.265 0.194
Br: 0.632 0.265 0.807
Br: 0.368 0.735 0.306
Br: 0.928 0.856 0.000
Br: 0.368 0.735 0.693
K: 0.746 0.492 0.499
K: 0.254 0.508 0.001
Ca: 0.000 0.000 0.750
Ca: 0.000 0.000 0.250

***

# 8
Below is a relaxed structure of K2CaBr4, with properties calculated at the GGA-PBE level.

Values from the calculation:
- N(E_F) (states/eV/cell) = 0.0
- raw formation energy (meV/atom) = -1862
- SG = C2/m (12)

Lattice parameters (Å, degrees): 4.323 9.073 8.588 129.15 104.58 90.00
Sites, in units of the cell vectors:
Br: 0.656 0.238 0.312
Br: 0.344 0.762 0.688
Br: 0.948 0.246 0.896
Br: 0.052 0.754 0.104
K: 0.355 0.394 0.710
K: 0.645 0.606 0.290
Ca: 0.000 0.000 0.000

***

# 9
Below is a relaxed structure of KCaBr, with properties calculated at the GGA-PBE level.

Values from the calculation:
- distance to the lowest polymorph of the same formula (meV/atom) = 9
- N(E_F) (states/eV/cell) = 4.8
- raw formation energy (meV/atom) = -914
- SG = Amm2 (38)

Lattice parameters (Å, degrees): 4.144 4.144 16.062 90.00 90.00 120.00
Sites, in units of the cell vectors:
Ca: 0.610 0.219 0.000
Ca: 0.279 0.558 0.500
Br: 0.276 0.553 0.118
Br: 0.276 0.553 0.882
K: 0.613 0.225 0.279
K: 0.613 0.225 0.721